Entry from the Alexandria database: a geometry-optimized WSeClF2 structure (GGA+U).

Geometry as POSCAR:
```
WSeClF2
1.0
4.2043 0.0000 0.0000
0.0000 4.2043 0.0000
0.0000 0.0000 5.4199
W Se Cl F
1 1 1 2
Direct
0.0000 0.0000 0.0000 W
0.0000 0.0000 0.5000 Se
0.5000 0.5000 0.0000 Cl
0.0000 0.5000 0.5000 F
0.5000 0.0000 0.5000 F
```

Properties
Raw total energy (eV per cell): -18.77
Size of the total moment (μB/f.u.): 3.629